# MnAgH8O4F4, optimized geometry, DFT PBE+U
# Calculated total energy: -178.29 eV/cell
# DOS(E_F): 0.171 states/eV/atom
data_MnAgH8O4F4
_chemical_formula_sum 'Mn2 Ag2 H16 O8 F8'
_space_group_name_H-M_alt 'P 1 21/m 1'
_space_group_IT_number 11
_cell_length_a 6.736
_cell_length_b 7.178
_cell_length_c 7.597
_cell_angle_alpha 90.00
_cell_angle_beta 104.40
_cell_angle_gamma 90.00
loop_
_space_group_symop_operation_xyz
'x,y,z'
'-x,-y,-z'
'-x,y+1/2,-z'
'x,-y+1/2,z'
loop_
_atom_site_label
_atom_site_type_symbol
_atom_site_fract_x
_atom_site_fract_y
_atom_site_fract_z
Mn1 Mn 0.224 0.250 0.455
Ag1 Ag 0.467 0.250 0.942
H1 H 0.044 0.635 0.376
H2 H 0.149 0.538 0.891
H3 H 0.205 0.007 0.103
H4 H 0.456 0.632 0.635
O1 O 0.022 0.750 0.446
O2 O 0.265 0.513 0.997
O3 O 0.456 0.250 0.342
F1 F 0.086 0.044 0.271
F2 F 0.351 0.050 0.630